Compound: Li3ThPd7
Source: Alexandria
Functional: PBE-GGA
Structure: relaxed

a = 5.3697 Å, b = 5.9205 Å, c = 5.9205 Å
α = 86.30°, β = 93.94°, γ = 93.94°
With the nearest neighbours (Å) after each atom.
Fractional positions:
Li 0.0000 0.8143 0.1857  7 Pd 2.55-2.76
Li 0.5000 0.0000 0.0000  6 Pd 2.60-2.74
Li 0.0000 0.1857 0.8143  7 Pd 2.55-2.76
Th 0.5000 0.5000 0.5000  8 Pd 2.68-2.97
Pd 0.2027 0.2208 0.2208  3 Li 2.59-2.60, 3 Pd 2.70-2.74, 1 Th 2.76
Pd 0.2667 0.9247 0.5832  3 Li 2.68-2.76, 5 Pd 2.70-2.90, 1 Th 2.97
Pd 0.7333 0.4168 0.0753  3 Li 2.68-2.76, 5 Pd 2.70-2.90, 1 Th 2.97
Pd 0.2667 0.5832 0.9247  3 Li 2.68-2.76, 5 Pd 2.70-2.90, 1 Th 2.97
Pd 0.0000 0.5000 0.5000  2 Li 2.55, 2 Th 2.68, 2 Pd 2.74
Pd 0.7333 0.0753 0.4168  3 Li 2.68-2.76, 5 Pd 2.70-2.90, 1 Th 2.97
Pd 0.7973 0.7792 0.7792  3 Li 2.59-2.60, 3 Pd 2.70-2.74, 1 Th 2.76

## Properties
Size of the total moment: 0.0 μB per cell
Volume: 187.0 Å³/cell
Density of states at the Fermi level: 0.28 states/eV/atom
DFT total energy: -4.97 eV per atom



Compound: Li3ThPd6
Source: Alexandria
Functional: PBE-GGA
Structure: relaxed

a = 4.3289 Å, b = 8.0491 Å, c = 9.4115 Å
α = 100.59°, β = 90.00°, γ = 90.00°
With the nearest neighbours (Å) after each atom.
Fractional positions:
Li 0.2500 0.5418 0.3953  8 Pd 2.54-2.83
Li 0.7500 0.4582 0.6047  8 Pd 2.54-2.83
Li 0.2500 0.3460 0.8291  8 Pd 2.57-2.77
Li 0.7500 0.6540 0.1709  8 Pd 2.57-2.77
Li 0.2500 0.7447 0.9767  10 Pd 2.63-2.95
Li 0.7500 0.2553 0.0233  10 Pd 2.63-2.95
Th 0.2500 0.9257 0.6296  8 Pd 2.73-2.97
Th 0.7500 0.0743 0.3704  8 Pd 2.73-2.97
Pd 0.2500 0.4701 0.1021  7 Li 2.58-2.78, 1 Pd 2.77
Pd 0.7500 0.5299 0.8979  7 Li 2.58-2.78, 1 Pd 2.77
Pd 0.2500 0.1728 0.2112  8 Pd 2.74-2.96, 2 Th 2.83, 2 Li 2.95
Pd 0.7500 0.8272 0.7888  8 Pd 2.74-2.96, 2 Th 2.83, 2 Li 2.95
Pd 0.2500 0.6023 0.7014  5 Li 2.54-2.83, 1 Th 2.81, 3 Pd 2.84
Pd 0.7500 0.3977 0.2986  5 Li 2.54-2.83, 1 Th 2.81, 3 Pd 2.84
Pd 0.2500 0.2731 0.5293  4 Li 2.65-2.77, 2 Pd 2.84-2.95, 2 Th 2.93
Pd 0.7500 0.7269 0.4707  4 Li 2.65-2.77, 2 Pd 2.84-2.95, 2 Th 2.93
Pd 0.2500 0.8264 0.2760  4 Li 2.66-2.77, 1 Pd 2.96, 2 Th 2.97
Pd 0.7500 0.1736 0.7240  4 Li 2.66-2.77, 1 Pd 2.96, 2 Th 2.97
Pd 0.2500 0.0577 0.9185  4 Li 2.61-2.76, 1 Th 2.73, 3 Pd 2.74-2.90
Pd 0.7500 0.9423 0.0815  4 Li 2.61-2.76, 1 Th 2.73, 3 Pd 2.74-2.90

## Properties
Size of the total moment: 0.0 μB per cell
Volume: 322.3 Å³/cell
Density of states at the Fermi level: 0.25 states/eV/atom
Energy above the lowest structure with this stoichiometry: 0 meV per atom
DFT total energy: -4.98 eV per atom



Compound: LiThTlPd
Source: Alexandria
Functional: PBE-GGA
Structure: relaxed

a = 4.9277 Å, b = 4.9277 Å, c = 4.9277 Å
α = 60.00°, β = 60.00°, γ = 60.00°
With the nearest neighbours (Å) after each atom.
Fractional positions:
Tl 0.2500 0.2500 0.2500  4 Li 3.02, 4 Pd 3.02
Pd 0.5000 0.5000 0.5000  4 Th 3.02, 4 Tl 3.02
Th 0.7500 0.7500 0.7500  4 Li 3.02, 4 Pd 3.02
Li 0.0000 0.0000 0.0000  4 Th 3.02, 4 Tl 3.02

## Properties
Size of the total moment: 0.0 μB per cell
Volume: 84.6 Å³/cell
Density of states at the Fermi level: 0.09 states/eV/atom
DFT total energy: -4.65 eV per atom



Compound: Li2ThZnPd4
Source: Alexandria
Functional: PBE-GGA
Structure: relaxed

a = 4.3303 Å, b = 4.3303 Å, c = 8.6280 Å
α = 75.47°, β = 75.47°, γ = 60.00°
With the nearest neighbours (Å) after each atom.
Fractional positions:
Li 0.7662 0.7662 0.7015  7 Pd 2.59-2.66
Li 0.2338 0.2338 0.2985  7 Pd 2.59-2.66
Th 0.0000 0.0000 0.0000  8 Pd 2.95-3.15
Zn 0.5000 0.5000 0.5000  8 Pd 2.57-2.68
Pd 0.3963 0.3963 0.8111  1 Zn 2.57, 3 Li 2.66
Pd 0.8727 0.8727 0.3819  4 Li 2.59-2.64, 3 Zn 2.68
Pd 0.1273 0.1273 0.6181  4 Li 2.59-2.64, 3 Zn 2.68
Pd 0.6037 0.6037 0.1889  1 Zn 2.57, 3 Li 2.66

## Properties
Size of the total moment: 0.0 μB per cell
Volume: 134.1 Å³/cell
Density of states at the Fermi level: 0.49 states/eV/atom
DFT total energy: -4.76 eV per atom



Compound: LiThZnPd2
Source: Alexandria
Functional: PBE-GGA
Structure: relaxed

a = 3.8607 Å, b = 3.8607 Å, c = 6.9568 Å
α = 106.11°, β = 106.11°, γ = 90.00°
With the nearest neighbours (Å) after each atom.
Fractional positions:
Li 0.7500 0.2500 0.5000  4 Pd 2.66, 4 Zn 2.73
Th 0.0000 0.0000 0.0000  8 Pd 3.06
Zn 0.2500 0.7500 0.5000  4 Pd 2.66, 4 Li 2.73
Pd 0.6073 0.6073 0.2146  2 Li 2.66, 2 Zn 2.66, 1 Pd 2.75
Pd 0.3927 0.3927 0.7854  2 Zn 2.66, 2 Li 2.66, 1 Pd 2.75

## Properties
Size of the total moment: 0.0 μB per cell
Volume: 95.4 Å³/cell
Density of states at the Fermi level: 0.38 states/eV/atom
DFT total energy: -4.81 eV per atom



Compound: LiThZnPd
Source: Alexandria
Functional: PBE-GGA
Structure: relaxed

a = 4.8872 Å, b = 4.8872 Å, c = 4.8872 Å
α = 60.00°, β = 60.00°, γ = 60.00°
With the nearest neighbours (Å) after each atom.
Fractional positions:
Zn 0.0000 0.0000 0.0000  4 Li 2.99, 4 Th 2.99
Pd 0.5000 0.5000 0.5000  4 Th 2.99, 4 Li 2.99
Th 0.7500 0.7500 0.7500  4 Pd 2.99, 4 Zn 2.99
Li 0.2500 0.2500 0.2500  4 Pd 2.99, 4 Zn 2.99

## Properties
Size of the total moment: 0.0 μB per cell
Volume: 82.5 Å³/cell
Density of states at the Fermi level: 0.62 states/eV/atom
DFT total energy: -4.30 eV per atom



Compound: LiTi3Pd
Source: Alexandria
Functional: PBE-GGA
Structure: relaxed

a = 4.8507 Å, b = 4.8507 Å, c = 4.8507 Å
α = 90.00°, β = 90.00°, γ = 90.00°
With the nearest neighbours (Å) after each atom.
Fractional positions:
Li 0.5000 0.5000 0.5000  12 Ti 3.43
Pd 0.0000 0.0000 0.0000  6 Ti 2.43
Ti 0.0000 0.5000 0.0000  2 Pd 2.43
Ti 0.0000 0.0000 0.5000  2 Pd 2.43
Ti 0.5000 0.0000 0.0000  2 Pd 2.43

## Properties
Size of the total moment: 2.4 μB per cell
Volume: 114.1 Å³/cell
Density of states at the Fermi level: 1.58 states/eV/atom
Energy above the lowest structure with this stoichiometry: 0 meV per atom
DFT total energy: -5.52 eV per atom



Compound: LiTi2Pd7
Source: Alexandria
Functional: PBE-GGA
Structure: relaxed

a = 4.1743 Å, b = 7.3857 Å, c = 7.3857 Å
α = 122.28°, β = 90.00°, γ = 90.00°
With the nearest neighbours (Å) after each atom.
Fractional positions:
Li 0.0000 0.0000 0.0000  10 Pd 2.61-2.88
Ti 0.5000 0.6965 0.3035  5 Pd 2.47-2.54
Ti 0.5000 0.3035 0.6965  5 Pd 2.47-2.54
Pd 0.0000 0.7981 0.2019  2 Ti 2.47, 1 Li 2.61, 4 Pd 2.75
Pd 0.0000 0.2019 0.7981  2 Ti 2.47, 1 Li 2.61, 4 Pd 2.75
Pd 0.5000 0.0784 0.3014  1 Ti 2.47, 4 Pd 2.64-2.75
Pd 0.5000 0.9216 0.6986  1 Ti 2.47, 4 Pd 2.64-2.75
Pd 0.5000 0.3014 0.0784  1 Ti 2.47, 4 Pd 2.64-2.75
Pd 0.5000 0.6986 0.9216  1 Ti 2.47, 4 Pd 2.64-2.75
Pd 0.5000 0.5000 0.5000  2 Ti 2.54, 4 Pd 2.64

## Properties
Size of the total moment: 0.0 μB per cell
Volume: 192.5 Å³/cell
Density of states at the Fermi level: 0.74 states/eV/atom
DFT total energy: -5.38 eV per atom



Compound: Li2TiPd
Source: Alexandria
Functional: PBE-GGA
Structure: relaxed

a = 2.7372 Å, b = 2.7372 Å, c = 9.8945 Å
α = 82.05°, β = 82.05°, γ = 60.00°
With the nearest neighbours (Å) after each atom.
Fractional positions:
Li 0.0941 0.0941 0.7176  3 Pd 2.65, 6 Li 2.74, 1 Ti 2.76
Li 0.9059 0.9059 0.2824  3 Pd 2.65, 6 Li 2.74, 1 Ti 2.76
Pd 0.5000 0.5000 0.5000  6 Li 2.65, 6 Pd 2.74
Ti 0.0000 0.0000 0.0000  6 Ti 2.74, 2 Li 2.76

## Properties
Size of the total moment: 0.0 μB per cell
Volume: 63.4 Å³/cell
Density of states at the Fermi level: 0.50 states/eV/atom
Energy above the lowest structure with this stoichiometry: 0 meV per atom
DFT total energy: -4.26 eV per atom



Compound: LiTiPd4
Source: Alexandria
Functional: PBE-GGA
Structure: relaxed

a = 2.7966 Å, b = 4.9038 Å, c = 7.2288 Å
α = 99.21°, β = 78.85°, γ = 73.43°
With the nearest neighbours (Å) after each atom.
Fractional positions:
Li 0.5000 0.5000 0.5000  10 Pd 2.74-2.89, 2 Li 2.80
Ti 0.0000 0.0000 0.0000  10 Pd 2.71-2.92, 2 Ti 2.80
Pd 0.8258 0.5142 0.8342  3 Ti 2.71-2.92, 2 Li 2.74, 7 Pd 2.77-2.81
Pd 0.3350 0.0012 0.3288  2 Ti 2.72, 3 Li 2.76-2.89, 7 Pd 2.78-2.81
Pd 0.1742 0.4858 0.1658  3 Ti 2.71-2.92, 2 Li 2.74, 7 Pd 2.77-2.81
Pd 0.6650 0.9988 0.6712  2 Ti 2.72, 3 Li 2.76-2.89, 7 Pd 2.78-2.81

## Properties
Size of the total moment: 0.0 μB per cell
Volume: 90.8 Å³/cell
Density of states at the Fermi level: 0.63 states/eV/atom
Energy above the lowest structure with this stoichiometry: 28 meV per atom
DFT total energy: -5.54 eV per atom



Compound: LiTi2Pd3
Source: Alexandria
Functional: PBE-GGA
Structure: relaxed

a = 3.0482 Å, b = 3.0482 Å, c = 9.7365 Å
α = 90.00°, β = 90.00°, γ = 90.00°
With the nearest neighbours (Å) after each atom.
Fractional positions:
Li 0.5000 0.5000 0.5000  8 Pd 2.64
Ti 0.5000 0.5000 0.8203  8 Pd 2.68-2.78
Ti 0.5000 0.5000 0.1797  8 Pd 2.68-2.78
Pd 0.0000 0.0000 0.0000  8 Ti 2.78, 4 Pd 3.05
Pd 0.0000 0.0000 0.6562  4 Li 2.64, 4 Ti 2.68
Pd 0.0000 0.0000 0.3438  4 Li 2.64, 4 Ti 2.68

## Properties
Size of the total moment: 0.6 μB per cell
Volume: 90.5 Å³/cell
Density of states at the Fermi level: 0.96 states/eV/atom
Energy above the lowest structure with this stoichiometry: 0 meV per atom
DFT total energy: -6.07 eV per atom



no.,energy of formation (kJ per mole of atoms)
1,-45.2
2,-53.3
3,-41.3
4,-57.7
5,-59.0
6,-33.4
7,61.6
8,2.7
9,-2.9
10,-43.1
11,-50.6